1.
# MoH2Pd2 PBEsol relaxed
data_MoH2Pd2
_chemical_formula_sum 'Mo2 H4 Pd4'
_cell_length_a 6.214
_cell_length_b 6.214
_cell_length_c 2.749
_cell_angle_alpha 90.00
_cell_angle_beta 90.00
_cell_angle_gamma 90.00
_symmetry_space_group_name_H-M 'P 4/m b m'
_symmetry_Int_Tables_number 127
_symmetry_space_group_name_Hall '-P 4 2ab'
loop_
_atom_site_label
_atom_site_type_symbol
_atom_site_fract_x
_atom_site_fract_y
_atom_site_fract_z
Mo1 Mo 0.000 0.000 0.000
H1 H 0.216 0.284 0.000
Pd1 Pd 0.153 0.653 0.500
# theoretical density	9.7	Mg/m³
# DFT total energy	-58.1	eV per cell
# M_tot	0.104	μB/atom

---

2.
# MgCrCd3 PBEsol relaxed
data_MgCrCd3
_chemical_formula_sum 'Mg1 Cr1 Cd3'
_cell_length_a 5.145
_cell_length_b 5.145
_cell_length_c 5.145
_cell_angle_alpha 90.00
_cell_angle_beta 90.00
_cell_angle_gamma 90.00
_symmetry_space_group_name_H-M 'P m -3 m'
_symmetry_Int_Tables_number 221
_symmetry_space_group_name_Hall '-P 4 2 3'
loop_
_atom_site_label
_atom_site_type_symbol
_atom_site_fract_x
_atom_site_fract_y
_atom_site_fract_z
Mg1 Mg 0.000 0.000 0.000
Cr1 Cr 0.500 0.500 0.500
Cd1 Cd 0.000 0.500 0.500
# theoretical density	5.0	Mg/m³
# formation energy from the elements	3.613	eV per formula unit
# M_tot	0.857	μB/atom

---

3.
# P2PtNCl PBEsol relaxed
data_P2PtNCl
_chemical_formula_sum 'P2 Pt1 N1 Cl1'
_cell_length_a 4.152
_cell_length_b 4.152
_cell_length_c 3.907
_cell_angle_alpha 90.00
_cell_angle_beta 90.00
_cell_angle_gamma 90.00
_symmetry_space_group_name_H-M 'P 4/m m m'
_symmetry_Int_Tables_number 123
_symmetry_space_group_name_Hall '-P 4 2'
loop_
_atom_site_label
_atom_site_type_symbol
_atom_site_fract_x
_atom_site_fract_y
_atom_site_fract_z
P1 P 0.000 0.500 0.000
Pt1 Pt 0.000 0.000 0.500
N1 N 0.500 0.500 0.000
Cl1 Cl 0.500 0.500 0.500
# theoretical density	7.6	Mg/m³
# energy relative to the elements, uncorrected	5.03	eV per formula unit
# M_tot	0.000	μB/atom

---

4.
# Re7Rh PBEsol relaxed
data_Re7Rh
_chemical_formula_sum 'Re28 Rh4'
_cell_length_a 7.733
_cell_length_b 7.733
_cell_length_c 7.733
_cell_angle_alpha 90.00
_cell_angle_beta 90.00
_cell_angle_gamma 90.00
_symmetry_space_group_name_H-M 'F m -3 m'
_symmetry_Int_Tables_number 225
_symmetry_space_group_name_Hall '-F 4 2 3'
loop_
_atom_site_label
_atom_site_type_symbol
_atom_site_fract_x
_atom_site_fract_y
_atom_site_fract_z
Re1 Re 0.000 0.000 0.000
Re2 Re 0.000 0.250 0.250
Rh1 Rh 0.000 0.000 0.500
# theoretical density	20.2	Mg/m³
# formation energy from the elements	0.041	eV per formula unit
# M_tot	0.000	μB/atom

---

5.
# TaAuCSe2 PBEsol relaxed
data_TaAuCSe2
_chemical_formula_sum 'Ta1 Au1 C1 Se2'
_cell_length_a 4.386
_cell_length_b 4.386
_cell_length_c 4.146
_cell_angle_alpha 90.00
_cell_angle_beta 90.00
_cell_angle_gamma 90.00
_symmetry_space_group_name_H-M 'P 4/m m m'
_symmetry_Int_Tables_number 123
_symmetry_space_group_name_Hall '-P 4 2'
loop_
_atom_site_label
_atom_site_type_symbol
_atom_site_fract_x
_atom_site_fract_y
_atom_site_fract_z
Ta1 Ta 0.000 0.000 0.000
Au1 Au 0.500 0.500 0.000
C1 C 0.500 0.500 0.500
Se1 Se 0.000 0.500 0.500
# theoretical density	11.4	Mg/m³
# energy relative to the elements, uncorrected	5.64	eV per formula unit
# M_tot	0.170	μB/atom

---

6.
# NaLi3Cl PBEsol relaxed
data_NaLi3Cl
_chemical_formula_sum 'Na1 Li3 Cl1'
_cell_length_a 4.913
_cell_length_b 4.913
_cell_length_c 4.913
_cell_angle_alpha 90.00
_cell_angle_beta 90.00
_cell_angle_gamma 90.00
_symmetry_space_group_name_H-M 'P m -3 m'
_symmetry_Int_Tables_number 221
_symmetry_space_group_name_Hall '-P 4 2 3'
loop_
_atom_site_label
_atom_site_type_symbol
_atom_site_fract_x
_atom_site_fract_y
_atom_site_fract_z
Na1 Na 0.000 0.000 0.000
Li1 Li 0.000 0.500 0.500
Cl1 Cl 0.500 0.500 0.500
# theoretical density	1.1	Mg/m³
# energy relative to the elements, uncorrected	-2.64	eV per formula unit
# M_tot	0.000	μB/atom

---

7.
# ScTl3 PBEsol relaxed
data_ScTl3
_chemical_formula_sum 'Sc2 Tl6'
_cell_length_a 4.415
_cell_length_b 4.415
_cell_length_c 9.893
_cell_angle_alpha 90.00
_cell_angle_beta 90.00
_cell_angle_gamma 90.00
_symmetry_space_group_name_H-M 'I 4/m m m'
_symmetry_Int_Tables_number 139
_symmetry_space_group_name_Hall '-I 4 2'
loop_
_atom_site_label
_atom_site_type_symbol
_atom_site_fract_x
_atom_site_fract_y
_atom_site_fract_z
Sc1 Sc 0.000 0.000 0.000
Tl1 Tl 0.000 0.000 0.500
Tl2 Tl 0.000 0.500 0.250
# theoretical density	11.3	Mg/m³
# formation energy from the elements	-0.515	eV per formula unit
# M_tot	0.000	μB/atom

---

8.
# CrFeMo3 PBEsol relaxed
data_CrFeMo3
_chemical_formula_sum 'Cr1 Fe1 Mo3'
_cell_length_a 4.366
_cell_length_b 4.366
_cell_length_c 4.366
_cell_angle_alpha 90.00
_cell_angle_beta 90.00
_cell_angle_gamma 90.00
_symmetry_space_group_name_H-M 'P m -3 m'
_symmetry_Int_Tables_number 221
_symmetry_space_group_name_Hall '-P 4 2 3'
loop_
_atom_site_label
_atom_site_type_symbol
_atom_site_fract_x
_atom_site_fract_y
_atom_site_fract_z
Cr1 Cr 0.000 0.000 0.000
Fe1 Fe 0.500 0.500 0.500
Mo1 Mo 0.000 0.000 0.500
# theoretical density	7.9	Mg/m³
# formation energy from the elements	7.146	eV per formula unit
# M_tot	0.435	μB/atom

---

9.
# AlCu3Te PBEsol relaxed
data_AlCu3Te
_chemical_formula_sum 'Al1 Cu3 Te1'
_cell_length_a 4.507
_cell_length_b 4.507
_cell_length_c 4.507
_cell_angle_alpha 90.00
_cell_angle_beta 90.00
_cell_angle_gamma 90.00
_symmetry_space_group_name_H-M 'P m -3 m'
_symmetry_Int_Tables_number 221
_symmetry_space_group_name_Hall '-P 4 2 3'
loop_
_atom_site_label
_atom_site_type_symbol
_atom_site_fract_x
_atom_site_fract_y
_atom_site_fract_z
Al1 Al 0.000 0.000 0.000
Cu1 Cu 0.000 0.000 0.500
Te1 Te 0.500 0.500 0.500
# theoretical density	6.3	Mg/m³
# energy relative to the elements, uncorrected	3.49	eV per formula unit
# M_tot	0.000	μB/atom

---

10.
# Er3Pd4 PBEsol relaxed
data_Er3Pd4
_chemical_formula_sum 'Er18 Pd24'
_cell_length_a 12.8803
_cell_length_b 12.8803
_cell_length_c 5.6223
_cell_angle_alpha 90.00
_cell_angle_beta 90.00
_cell_angle_gamma 120.00
_symmetry_space_group_name_H-M 'R -3'
_symmetry_Int_Tables_number 148
_symmetry_space_group_name_Hall '-R 3'
loop_
_atom_site_label
_atom_site_type_symbol
_atom_site_fract_x
_atom_site_fract_y
_atom_site_fract_z
Er1 Er 0.0411 0.2114 0.2350
Pd1 Pd 0.0000 0.0000 0.0000
Pd2 Pd 0.0000 0.0000 0.5000
Pd3 Pd 0.0512 0.2673 0.7210
# theoretical density	11.4	Mg/m³
# formation energy from the elements	-6.637	eV per formula unit
# M_tot	0.000	μB/atom

---

11.
# BaZrGa2As PBEsol relaxed
data_BaZrGa2As
_chemical_formula_sum 'Ba1 Zr1 Ga2 As1'
_cell_length_a 5.147
_cell_length_b 5.147
_cell_length_c 5.104
_cell_angle_alpha 90.00
_cell_angle_beta 90.00
_cell_angle_gamma 90.00
_symmetry_space_group_name_H-M 'P 4/m m m'
_symmetry_Int_Tables_number 123
_symmetry_space_group_name_Hall '-P 4 2'
loop_
_atom_site_label
_atom_site_type_symbol
_atom_site_fract_x
_atom_site_fract_y
_atom_site_fract_z
Ba1 Ba 0.000 0.000 0.000
Zr1 Zr 0.500 0.500 0.000
Ga1 Ga 0.000 0.500 0.500
As1 As 0.500 0.500 0.500
# theoretical density	5.4	Mg/m³
# formation energy from the elements	0.649	eV per formula unit
# M_tot	0.002	μB/atom

---

12.
# LiHg2Au PBEsol relaxed
data_LiHg2Au
_chemical_formula_sum 'Li4 Hg8 Au4'
_cell_length_a 6.670
_cell_length_b 6.670
_cell_length_c 6.670
_cell_angle_alpha 90.00
_cell_angle_beta 90.00
_cell_angle_gamma 90.00
_symmetry_space_group_name_H-M 'F -4 3 m'
_symmetry_Int_Tables_number 216
_symmetry_space_group_name_Hall 'F -4 2 3'
loop_
_atom_site_label
_atom_site_type_symbol
_atom_site_fract_x
_atom_site_fract_y
_atom_site_fract_z
Li1 Li 0.000 0.000 0.000
Hg1 Hg 0.000 0.000 0.500
Hg2 Hg 0.250 0.250 0.750
Au1 Au 0.250 0.250 0.250
# theoretical density	13.5	Mg/m³
# formation energy from the elements	-0.937	eV per formula unit
# M_tot	0.000	μB/atom

---

Question: Among the records above, which one has the lowest theoretical density?
Answer: NaLi3Cl

---

Question: Which of these has the highest theoretical density?
Answer: Re7Rh

---

Question: Which value of theoretical density does entry 4 give?
Answer: 20.2 Mg/m³